# PBE CaMn2Cr, relaxed
data_CaMn2Cr
_chemical_formula_sum 'Ca1 Mn2 Cr1'
_cell_length_a 4.7934
_cell_length_b 4.7934
_cell_length_c 4.7934
_cell_angle_alpha 128.06
_cell_angle_beta 116.60
_cell_angle_gamma 86.31
_symmetry_space_group_name_H-M 'P 1'
_symmetry_Int_Tables_number 1
_symmetry_space_group_name_Hall 'P 1'
loop_
_atom_site_label
_atom_site_type_symbol
_atom_site_fract_x
_atom_site_fract_y
_atom_site_fract_z
Cr1 Cr 0.2500 0.7500 0.5000
Mn1 Mn 0.0453 0.0453 0.0000
Mn2 Mn 0.4547 0.4547 0.0000
Ca1 Ca 0.7500 0.2500 0.5000
# energy above the lowest structure with this stoichiometry: 0.147 eV/atom
# ΔE_f: 12.146 kcal/mol of atoms
# crystal system: orthorhombic